Material: CaC2
Method: DFT, PBE
State: optimized geometry

Properties
Offset from the most stable computed form, kJ per mole of atoms: 0.0
Energy relative to the elements, eV/atom: 0.0148

a b c (Å): 7.195 3.842 7.433
angles (deg): 90.00 106.91 90.00
Space group C2/m (No. 12)
Unique sites:
Ca (0.204, 0.000, 0.247) (multiplicity 4)
C (0.048, 0.500, 0.942) (multiplicity 4)
C (0.079, 0.000, 0.565) (multiplicity 4)